Density functional theory data (GGA-PBE) for Zr2BrN after structural relaxation.

abc: 5.6024 5.6024 11.0366
angles: 90.00 90.00 90.00
With the nearest neighbours (Å) after each atom.
Space group I-42d (No. 122)
One atom of each set of equivalent atoms:
Zr 0.1487 0.2500 0.1250 x8  2 N 2.14
Br 0.0000 0.0000 0.5000 x4  4 Zr 2.78
N 0.0000 0.0000 0.0000 x4  4 Zr 2.14

## Properties
Formation energy without anion corrections = -0.659 eV/atom